Entry 1:
A relaxed Cs3Na2CaBr6 crystal, computed with PBE-GGA.

It has space group P-3m1 (No. 164), with a = 8.2491 Å, b = 8.2491 Å, c = 9.3775 Å, α = 90.00°, β = 90.00° and γ = 120.00°. The asymmetric unit holds Cs at (0.0000, 0.0000, 0.0000), Cs at (0.3333, 0.6667, 0.6213), Na at (0.3333, 0.6667, 0.1610), Ca at (0.0000, 0.0000, 0.5000) and Br at (0.1625, 0.3250, 0.3134).

The uncorrected formation energy comes out at -19.016 eV/f.u. Its volume is 552.63 Å³/f.u.

---

Entry 2:
A relaxed Cs3NaCa2Br9 crystal, computed with PBE-GGA.

It has space group P-3m1 (No. 164), with a = 8.1455 Å, b = 8.1455 Å, c = 10.0662 Å, α = 90.00°, β = 90.00° and γ = 120.00°. The asymmetric unit holds Cs at (0.0000, 0.0000, 0.0000), Cs at (0.3333, 0.6667, 0.6591), Na at (0.0000, 0.0000, 0.5000), Ca at (0.3333, 0.6667, 0.1677), Br at (0.0000, 0.5000, 0.0000) and Br at (0.1679, 0.3358, 0.3305).

The uncorrected formation energy comes out at -25.708 eV/f.u. Its volume is 578.40 Å³/f.u.

---

Entry 3:
A relaxed Cs2NaCaBr5 crystal, computed with PBE-GGA.

It has space group Cmc2_1 (No. 36), with a = 4.561 Å, b = 20.507 Å, c = 15.626 Å, α = 90.00°, β = 90.00° and γ = 90.00°. The asymmetric unit holds Cs at (0.000, 0.094, 0.000), Cs at (0.000, 0.137, 0.640), Na at (0.000, 0.442, 0.786), Ca at (0.000, 0.216, 0.360), Br at (0.000, 0.074, 0.392), Br at (0.000, 0.273, 0.984), Br at (0.000, 0.304, 0.738), Br at (0.000, 0.354, 0.330) and Br at (0.000, 0.499, 0.125).

The uncorrected formation energy comes out at -16.351 eV/f.u. Its volume is 365.41 Å³/f.u.

---

Copy entry 2 word for word.
A relaxed Cs3NaCa2Br9 crystal, computed with PBE-GGA.

It has space group P-3m1 (No. 164), with a = 8.1455 Å, b = 8.1455 Å, c = 10.0662 Å, α = 90.00°, β = 90.00° and γ = 120.00°. The asymmetric unit holds Cs at (0.0000, 0.0000, 0.0000), Cs at (0.3333, 0.6667, 0.6591), Na at (0.0000, 0.0000, 0.5000), Ca at (0.3333, 0.6667, 0.1677), Br at (0.0000, 0.5000, 0.0000) and Br at (0.1679, 0.3358, 0.3305).

The uncorrected formation energy comes out at -25.708 eV/f.u. Its volume is 578.40 Å³/f.u.

---

Which value of uncorrected formation energy does entry 1 give? -19.016 eV/f.u.

---

Which value of uncorrected formation energy does entry 1 give? -19.016 eV/f.u.

---

Please write out number 3 again, unchanged.
A relaxed Cs2NaCaBr5 crystal, computed with PBE-GGA.

It has space group Cmc2_1 (No. 36), with a = 4.561 Å, b = 20.507 Å, c = 15.626 Å, α = 90.00°, β = 90.00° and γ = 90.00°. The asymmetric unit holds Cs at (0.000, 0.094, 0.000), Cs at (0.000, 0.137, 0.640), Na at (0.000, 0.442, 0.786), Ca at (0.000, 0.216, 0.360), Br at (0.000, 0.074, 0.392), Br at (0.000, 0.273, 0.984), Br at (0.000, 0.304, 0.738), Br at (0.000, 0.354, 0.330) and Br at (0.000, 0.499, 0.125).

The uncorrected formation energy comes out at -16.351 eV/f.u. Its volume is 365.41 Å³/f.u.